This record from Alexandria describes a geometry-optimized Cd2BPd8 structure. The functional is PBE.

## Properties
DFT formation energy = -0.0141 eV/atom
total magnetic moment = 0.00 μB per cell
SG = C2/m

Cell: 4.729 6.954 6.954 Å, 63.07 71.85 71.85°
Fractional positions:
Cd  0.553  0.181  0.181
Cd  0.447  0.819  0.819
B  0.000  0.000  0.000
Pd  0.810  0.119  0.735
Pd  0.190  0.265  0.881
Pd  0.946  0.299  0.299
Pd  0.054  0.701  0.701
Pd  0.810  0.735  0.119
Pd  0.190  0.881  0.265
Pd  0.315  0.434  0.434
Pd  0.685  0.566  0.566